A plane-wave DFT calculation with PBE was carried out for MnAlTe2 after structural relaxation.

POSCAR file:
```
MnAlTe2
1.0
7.830 1.723 0.000
4.809 6.414 0.000
-6.320 -4.069 2.789
Mn Te Al
1 2 1
direct
0.750 0.250 0.500
0.250 0.750 0.500
0.000 0.000 0.000
0.500 0.500 0.000
```

DFT total energy = -4.63 eV/atom

=====

A plane-wave DFT calculation with PBE was carried out for MnAlTe after structural relaxation.

POSCAR file:
```
MnAlTe
1.0
3.358 0.000 0.000
-1.679 2.908 0.000
0.000 0.000 5.972
Mn Te Al
1 1 1
direct
0.667 0.333 0.331
0.333 0.667 0.627
0.000 0.000 0.042
```

DFT total energy = -5.20 eV/atom
Offset from the most stable computed form = 6 meV/atom

=====

A plane-wave DFT calculation with PBE was carried out for MnAl2Te after structural relaxation.

POSCAR file:
```
MnAl2Te
1.0
3.872 0.000 0.000
0.000 3.750 0.016
0.000 1.840 5.201
Te Al Mn
1 2 1
direct
0.500 0.724 0.679
0.000 0.006 0.111
0.500 0.463 0.198
0.000 0.307 0.513
```

DFT total energy = -4.86 eV/atom

=====

Number 1: uncorrected formation energy 65 kJ/mol of formula units. Number 2: uncorrected formation energy 44 kJ/mol of formula units. Number 3: uncorrected formation energy 35 kJ/mol of formula units.